(1)
Crystalline TlOs2W at its relaxed geometry. Source: Alexandria, functional PBE.

DOS(E_F) (states/eV/atom): 0.8155
Space-group type: P4mm (99)
Energy relative to the lowest polymorph listed for this composition (meV/atom): 142
Energy of formation (eV/atom): 0.67

```
4
Lattice="-1.653 1.993 1.137 -2.148 -1.837 0.098 2.394 -2.391 7.674" Properties=species:S:1:pos:R:3 pbc="T T T"
Os 0.036 -0.036 0.114
Os -1.373 -0.449 2.309
Tl 1.177 -1.176 3.773
W -0.050 -1.771 6.550
```

(2)
Crystalline TlOs2W at its relaxed geometry. Source: Alexandria, functional PBE.

DOS(E_F) (states/eV/atom): 0.7703
Space-group type: Pmmm (47)
Energy relative to the lowest polymorph listed for this composition (meV/atom): 107
Energy of formation (eV/atom): 0.64

```
4
Lattice="2.913 0.000 0.000 0.000 3.685 0.000 0.000 0.000 6.311" Properties=species:S:1:pos:R:3 pbc="T T T"
Os 0.000 0.000 6.108
Os 0.000 0.000 3.358
Tl 1.456 1.843 1.578
W 1.456 1.843 4.733
```